1.
This record from OQMD describes a relaxed structure of Co2SiPd. The functional is PBE.

a b c (Å): 5.7613 5.7613 5.7613
angles (deg): 90.00 90.00 90.00
Space group F-43m (No. 216)
Inequivalent atoms, fractional coordinates:
Co 0.0000 0.0000 0.0000 (multiplicity 4)
Co 0.2500 0.2500 0.2500 (multiplicity 4)
Si 0.2500 0.2500 0.7500 (multiplicity 4)
Pd 0.0000 0.0000 0.5000 (multiplicity 4)

Summary:
- uncorrected energy (eV per cell) = -101.32
- total magnetization (μB per formula unit) = 2.503

2.
This record from OQMD describes a relaxed structure of Li2PdAu. The functional is PBE.

a b c (Å): 6.2660 6.2660 6.2660
angles (deg): 90.00 90.00 90.00
Space group F-43m (No. 216)
Inequivalent atoms, fractional coordinates:
Li 0.0000 0.0000 0.0000 (multiplicity 4)
Li 0.2500 0.2500 0.2500 (multiplicity 4)
Pd 0.0000 0.0000 0.5000 (multiplicity 4)
Au 0.2500 0.2500 0.7500 (multiplicity 4)

Summary:
- energy above the most stable polymorph in this dataset (meV/atom) = 54

3.
This record from OQMD describes a relaxed structure of PuTlCuSeS2. The functional is PBE.

a b c (Å): 8.2138 3.9806 9.9422
angles (deg): 90.00 109.35 90.00
Space group P2_1/m (No. 11)
Inequivalent atoms, fractional coordinates:
Pu 0.1878 0.2500 0.1515 (multiplicity 2)
Tl 0.2585 0.7500 0.7264 (multiplicity 2)
Cu 0.4237 0.7500 0.4042 (multiplicity 2)
Se 0.2661 0.2500 0.4499 (multiplicity 2)
S 0.0436 0.2500 0.8659 (multiplicity 2)
S 0.4125 0.7500 0.1671 (multiplicity 2)

Summary:
- uncorrected energy (eV per cell) = -75.08
- total magnetization (μB per formula unit) = 4.097

4.
This record from OQMD describes a relaxed structure of KBeCd. The functional is PBE.

a b c (Å): 7.0406 7.0406 7.0406
angles (deg): 90.00 90.00 90.00
Space group F-43m (No. 216)
Inequivalent atoms, fractional coordinates:
K 0.0000 0.0000 0.0000 (multiplicity 4)
Be 0.2500 0.2500 0.7500 (multiplicity 4)
Cd 0.0000 0.0000 0.5000 (multiplicity 4)

Summary:
- energy above the most stable polymorph in this dataset (meV/atom) = 130

5.
This record from OQMD describes a relaxed structure of SmErAsO. The functional is PBE.

a b c (Å): 4.1455 7.8538 5.6983
angles (deg): 90.00 90.00 90.00
Space group Pmc2_1 (No. 26)
Inequivalent atoms, fractional coordinates:
Sm 0.0000 0.1207 0.0000 (multiplicity 2)
Er 0.5000 0.2878 0.4543 (multiplicity 2)
As 0.5000 0.3557 0.9490 (multiplicity 2)
O 0.0000 0.1768 0.4106 (multiplicity 2)

Summary:
- total magnetization (μB per formula unit) = 0.073
- energy above the most stable polymorph in this dataset (meV/atom) = 52

6.
This record from OQMD describes a relaxed structure of AgTePbF. The functional is PBE.

a b c (Å): 7.1388 7.3436 7.4444
angles (deg): 90.00 90.00 90.00
Space group P2_12_12_1 (No. 19)
Inequivalent atoms, fractional coordinates:
Ag 0.2443 0.0201 0.3844 (multiplicity 4)
Te 0.0578 0.1860 0.6520 (multiplicity 4)
Pb 0.1851 0.5567 0.4363 (multiplicity 4)
F 0.0977 0.3625 0.1752 (multiplicity 4)

Summary:
- energy above the most stable polymorph in this dataset (meV/atom) = 122

7.
This record from OQMD describes a relaxed structure of Zr2ScAl. The functional is PBE.

a b c (Å): 5.0591 6.2568 10.8694
angles (deg): 90.00 90.00 90.00
Space group Amm2 (No. 38)
Inequivalent atoms, fractional coordinates:
Zr 0.0000 0.0000 0.0000 (multiplicity 2)
Zr 0.0000 0.2500 0.2589 (multiplicity 4)
Zr 0.5000 0.0000 0.6826 (multiplicity 2)
Sc 0.0000 0.0000 0.5011 (multiplicity 2)
Sc 0.5000 0.0000 0.1775 (multiplicity 2)
Al 0.5000 0.2450 0.4230 (multiplicity 4)

Summary:
- uncorrected energy (eV per cell) = -111.27
- total magnetization (μB per formula unit) = 0.012

8.
This record from OQMD describes a relaxed structure of Er2Pd. The functional is PBE.

a b c (Å): 7.4232 7.4232 4.5846
angles (deg): 90.00 90.00 120.00
Space group P-62m (No. 189)
Inequivalent atoms, fractional coordinates:
Er 0.0000 0.4080 0.0000 (multiplicity 3)
Er 0.0000 0.7384 0.5000 (multiplicity 3)
Pd 0.0000 0.0000 0.0000 (multiplicity 1)
Pd 0.3333 0.6667 0.5000 (multiplicity 2)

Summary:
- total magnetization (μB per formula unit) = 0.013
- formation energy from the elements (eV/atom) = -0.594

9.
This record from OQMD describes a relaxed structure of LiSmGe. The functional is PBE.

a b c (Å): 7.0489 7.0489 4.2426
angles (deg): 90.00 90.00 120.00
Space group P-62m (No. 189)
Inequivalent atoms, fractional coordinates:
Li 0.0000 0.0000 0.0000 (multiplicity 1)
Li 0.3333 0.6667 0.5000 (multiplicity 2)
Sm 0.0000 0.5873 0.0000 (multiplicity 3)
Ge 0.0000 0.2549 0.5000 (multiplicity 3)

Summary:
- uncorrected energy (eV per cell) = -37.41
- total magnetization (μB per formula unit) = 0.003

10.
This record from OQMD describes a relaxed structure of La2TlZn2In. The functional is PBE.

a b c (Å): 4.8128 4.8128 7.8131
angles (deg): 90.00 90.00 120.00
Space group P3m1 (No. 156)
Inequivalent atoms, fractional coordinates:
La 0.0000 0.0000 0.0000 (multiplicity 1)
La 0.0000 0.0000 0.4995 (multiplicity 1)
Tl 0.6667 0.3333 0.7226 (multiplicity 1)
Zn 0.3333 0.6667 0.8017 (multiplicity 1)
Zn 0.6667 0.3333 0.2944 (multiplicity 1)
In 0.3333 0.6667 0.2252 (multiplicity 1)

Summary:
- uncorrected energy (eV per cell) = -20.17
- total magnetization (μB per formula unit) = 0.001

11.
This record from OQMD describes a relaxed structure of BaMgBiIr. The functional is PBE.

a b c (Å): 7.3761 7.3761 7.3761
angles (deg): 90.00 90.00 90.00
Space group F-43m (No. 216)
Inequivalent atoms, fractional coordinates:
Ba 0.0000 0.0000 0.0000 (multiplicity 4)
Mg 0.2500 0.2500 0.2500 (multiplicity 4)
Bi 0.0000 0.0000 0.5000 (multiplicity 4)
Ir 0.2500 0.2500 0.7500 (multiplicity 4)

Summary:
- total magnetization (μB per formula unit) = 0.003
- energy above the most stable polymorph in this dataset (meV/atom) = 34

12.
This record from OQMD describes a relaxed structure of LiTe4PdAu3. The functional is PBE.

a b c (Å): 6.3240 6.3240 6.3240
angles (deg): 90.00 90.00 90.00
Space group P-43m (No. 215)
Inequivalent atoms, fractional coordinates:
Li 0.0000 0.0000 0.0000 (multiplicity 1)
Te 0.2481 0.2481 0.2481 (multiplicity 4)
Pd 0.5000 0.5000 0.5000 (multiplicity 1)
Au 0.0000 0.5000 0.5000 (multiplicity 3)

Summary:
- uncorrected energy (eV per cell) = -30.62